(1)
An optimized crystal structure of NiAu, computed with PBE-GGA.

Summary:
Symmetry: No. 59
DFT formation energy: 0.305 eV/atom
Electronic total energy: -50.69 eV for the cell shown
Calculated volume: 16.8 Å³/atom

Lattice parameters (Å, degrees): 4.0613 4.4253 11.1874 90.00 90.00 90.00
Last column: nearest neighbours and their distance in Å.
Fractional positions:
Au  0.5000  0.2445  0.2496  5 Ni 2.56-2.82, 1 Au 2.79
Au  0.0000  0.7555  0.7496  5 Ni 2.56-2.82, 1 Au 2.79
Au  0.5000  0.2445  0.7504  5 Ni 2.56-2.82, 1 Au 2.79
Ni  0.5000  0.7352  0.1109  3 Ni 2.42-2.48, 5 Au 2.52-2.67
Ni  0.0000  0.2648  0.6109  3 Ni 2.42-2.48, 5 Au 2.52-2.67
Au  0.0000  0.7555  0.2504  5 Ni 2.56-2.82, 1 Au 2.79
Ni  0.5000  0.1704  0.5000  4 Ni 2.42
Ni  0.0000  0.8296  0.0000  4 Ni 2.42
Au  0.5000  0.2397  0.0000  6 Ni 2.52-2.72, 2 Au 2.79
Ni  0.0000  0.2648  0.3891  3 Ni 2.42-2.48, 5 Au 2.52-2.67
Ni  0.5000  0.7352  0.8891  3 Ni 2.42-2.48, 5 Au 2.52-2.67
Au  0.0000  0.7603  0.5000  6 Ni 2.52-2.72, 2 Au 2.79

(2)
An optimized crystal structure of Ni3Au, computed with PBE-GGA.

Summary:
Symmetry: No. 187
DFT formation energy: 0.201 eV/atom
Electronic total energy: -19.82 eV for the cell shown
Calculated volume: 13.1 Å³/atom

Lattice parameters (Å, degrees): 2.6850 2.6850 8.3919 90.00 90.00 120.00
Last column: nearest neighbours and their distance in Å.
Fractional positions:
Ni  0.3333  0.6667  0.2739  9 Ni 2.45-2.68
Ni  0.3333  0.6667  0.7261  9 Ni 2.45-2.68
Ni  0.0000  0.0000  0.5000  12 Ni 2.45-2.68
Au  0.0000  0.0000  0.0000  6 Au 2.68, 6 Ni 2.77

(3)
An optimized crystal structure of Ni2Au, computed with PBE-GGA.

Summary:
Symmetry: No. 140
DFT formation energy: 0.480 eV/atom
Electronic total energy: -26.80 eV for the cell shown
Calculated volume: 14.8 Å³/atom

Lattice parameters (Å, degrees): 4.8710 4.8710 4.8710 108.65 108.65 111.14
Last column: nearest neighbours and their distance in Å.
Fractional positions:
Au  0.2500  0.2500  0.0000  8 Ni 2.58, 2 Au 2.75
Ni  0.1427  0.3573  0.5000  1 Ni 2.29
Au  0.7500  0.7500  0.0000  8 Ni 2.58, 2 Au 2.75
Ni  0.3573  0.8573  0.2146  1 Ni 2.29
Ni  0.6427  0.1427  0.7854  1 Ni 2.29
Ni  0.8573  0.6427  0.5000  1 Ni 2.29

(4)
An optimized crystal structure of Ni3Au4, computed with PBE-GGA.

Summary:
Symmetry: No. 139
DFT formation energy: 0.077 eV/atom
Electronic total energy: -29.91 eV for the cell shown
Calculated volume: 15.0 Å³/atom

Lattice parameters (Å, degrees): 2.9077 12.6187 2.9077 83.38 90.00 96.62
Last column: nearest neighbours and their distance in Å.
Fractional positions:
Ni  0.2753  0.5506  0.7247  4 Ni 2.41, 4 Au 2.69
Au  0.5686  0.1371  0.4314  4 Ni 2.67, 8 Au 2.91-2.97
Au  0.1549  0.3097  0.8451  5 Ni 2.69-3.00, 8 Au 2.91-2.97
Au  0.8451  0.6903  0.1549  5 Ni 2.69-3.00, 8 Au 2.91-2.97
Ni  0.0000  0.0000  0.0000  8 Au 2.67, 4 Ni 2.91
Ni  0.7247  0.4494  0.2753  4 Ni 2.41, 4 Au 2.69
Au  0.4314  0.8629  0.5686  4 Ni 2.67, 8 Au 2.91-2.97

(5)
An optimized crystal structure of NiAu, computed with PBE-GGA.

Summary:
Symmetry: No. 198
DFT formation energy: 0.206 eV/atom
Electronic total energy: -34.59 eV for the cell shown
Calculated volume: 14.9 Å³/atom

Lattice parameters (Å, degrees): 4.9218 4.9218 4.9218 90.00 90.00 90.00
Last column: nearest neighbours and their distance in Å.
Fractional positions:
Ni  0.9031  0.5969  0.4031  7 Au 2.63-2.65
Ni  0.4031  0.9031  0.5969  7 Au 2.63-2.65
Ni  0.0969  0.0969  0.0969  7 Au 2.63-2.65
Au  0.9053  0.0947  0.5947  7 Ni 2.63-2.65
Au  0.0947  0.5947  0.9053  7 Ni 2.63-2.65
Ni  0.5969  0.4031  0.9031  7 Au 2.63-2.65
Au  0.5947  0.9053  0.0947  7 Ni 2.63-2.65
Au  0.4053  0.4053  0.4053  7 Ni 2.63-2.65

(6)
An optimized crystal structure of NiAu, computed with PBE-GGA.

Summary:
Symmetry: No. 227
DFT formation energy: 0.226 eV/atom
Electronic total energy: -17.21 eV for the cell shown
Calculated volume: 14.8 Å³/atom

Lattice parameters (Å, degrees): 4.3778 4.3778 4.3778 60.00 60.00 60.00
Last column: nearest neighbours and their distance in Å.
Fractional positions:
Au  0.0000  0.0000  0.0000  4 Ni 2.68, 4 Au 2.68
Ni  0.5000  0.5000  0.5000  4 Ni 2.68, 4 Au 2.68
Ni  0.2500  0.2500  0.2500  4 Ni 2.68, 4 Au 2.68
Au  0.7500  0.7500  0.7500  4 Au 2.68, 4 Ni 2.68